Here is a geometry-optimized CdWI2O structure from Alexandria via LeMat-Bulk. Energies are from GGA+U.

Geometry as POSCAR:
```
CdWI2O
1.0
6.006 0.000 0.000
0.000 6.006 0.000
0.000 0.000 4.074
O I Cd W
1 2 1 1
Direct
0.000 0.000 0.500
0.500 0.000 0.000
0.000 0.500 0.000
0.000 0.000 0.000
0.500 0.500 0.500
```

## Properties
Magnetic moment: 4.4 μB per formula unit
Mass density: 6.4 g/cm³
Energy: -2.75 eV per atom
Symmetry: P4/mmm